# KPu2PdSe4

KPu2PdSe4 after structural relaxation (GGA-PBE, Alexandria).

Cell lengths 4.159, 7.364, 14.488 Å; angles 90.00, 90.00, 106.40 degrees
Site moments in Bohr magnetons follow the coordinates.
Fractional coordinates of all 16 atoms:
Se1 0.000 0.000 0.000  -0.14
Se2 0.560 0.121 0.250  -0.16
Se3 0.440 0.879 0.750  -0.16
Se4 0.734 0.468 0.894  -0.15
Se5 0.266 0.532 0.106  -0.15
Se6 0.734 0.468 0.606  -0.15
Se7 0.000 0.000 0.500  -0.14
Se8 0.266 0.532 0.394  -0.15
Pu1 0.633 0.266 0.066  5.00
Pu2 0.367 0.734 0.934  5.00
Pu3 0.633 0.266 0.434  5.00
Pu4 0.367 0.734 0.566  5.00
Pd1 0.838 0.677 0.750  -0.29
Pd2 0.162 0.323 0.250  -0.29
K1 0.884 0.769 0.250  -0.01
K2 0.116 0.231 0.750  -0.01

Results
VASP energy: -7.3697 eV/atom
Formation energy without anion corrections: -1.258 eV per atom
Fermi-level density of states: 39.6 states/eV per cell
Space group: Cmcm
Crystal system: orthorhombic